Here is crystalline Li3Tm3ScS8 at its relaxed geometry from Alexandria via LeMat-Bulk. Energies are from PBE.

CIF file:
```
data_Li3Tm3ScS8
_space_group_name_H-M_alt 'P 1'
_space_group_IT_number 1
_cell_length_a 7.528
_cell_length_b 7.528
_cell_length_c 7.528
_cell_angle_alpha 61.31
_cell_angle_beta 61.31
_cell_angle_gamma 61.31
loop_
_space_group_symop_operation_xyz
'x,y,z'
loop_
_atom_site_label
_atom_site_fract_x
_atom_site_fract_y
_atom_site_fract_z
_atom_site_occupancy
Li1 0.000 0.500 0.500 1
Li2 0.500 0.000 0.500 1
Li3 0.500 0.500 0.000 1
Tm1 0.000 0.000 0.500 1
Tm2 0.000 0.500 0.000 1
Tm3 0.500 0.000 0.000 1
Sc1 0.500 0.500 0.500 1
S1 0.251 0.251 0.251 1
S2 0.259 0.259 0.741 1
S3 0.259 0.741 0.259 1
S4 0.259 0.741 0.741 1
S5 0.741 0.259 0.259 1
S6 0.741 0.259 0.741 1
S7 0.741 0.741 0.259 1
S8 0.749 0.749 0.749 1
```

Results
Space-group type = No. 166
Magnetic moment = 0.000 μB per atom
Electronic total energy = -5.641 eV per atom
Calculated volume = 20.7 Å³/atom



Here is crystalline NiHgSb2 at its relaxed geometry from Alexandria via LeMat-Bulk. Energies are from PBE.

CIF file:
```
data_NiHgSb2
_space_group_name_H-M_alt 'P 1'
_space_group_IT_number 1
_cell_length_a 5.147
_cell_length_b 5.147
_cell_length_c 5.147
_cell_angle_alpha 125.21
_cell_angle_beta 125.21
_cell_angle_gamma 81.18
loop_
_space_group_symop_operation_xyz
'x,y,z'
loop_
_atom_site_label
_atom_site_fract_x
_atom_site_fract_y
_atom_site_fract_z
_atom_site_occupancy
Ni1 0.000 0.000 0.000 1
Hg1 0.500 0.500 0.000 1
Sb1 0.250 0.750 0.500 1
Sb2 0.750 0.250 0.500 1
```

Results
Space-group type = No. 139
Magnetic moment = 0.000 μB per atom
Electronic total energy = -3.217 eV per atom
Calculated volume = 21.9 Å³/atom



Here is crystalline PmLuZnSn at its relaxed geometry from Alexandria via LeMat-Bulk. Energies are from PBE.

CIF file:
```
data_PmLuZnSn
_space_group_name_H-M_alt 'P 1'
_space_group_IT_number 1
_cell_length_a 5.200
_cell_length_b 5.200
_cell_length_c 5.200
_cell_angle_alpha 60.00
_cell_angle_beta 60.00
_cell_angle_gamma 60.00
loop_
_space_group_symop_operation_xyz
'x,y,z'
loop_
_atom_site_label
_atom_site_fract_x
_atom_site_fract_y
_atom_site_fract_z
_atom_site_occupancy
Pm1 0.000 0.000 0.000 1
Lu1 0.500 0.500 0.500 1
Zn1 0.750 0.750 0.750 1
Sn1 0.250 0.250 0.250 1
```

Results
Space-group type = No. 216
Magnetic moment = 0.000 μB per atom
Electronic total energy = -4.110 eV per atom
Calculated volume = 24.9 Å³/atom
Energy of formation = -0.473 eV per atom



Question: What is the formula in the second record?
Answer: NiHgSb2



Question: Which formula does entry 3 have?
Answer: PmLuZnSn



Question: Look up the magnetic moment of the second one.
Answer: 0.000 μB per atom